(1)
Here is an optimized crystal structure of ThTiSe2 from the Alexandria database. Energies are from PBE.

The density of states at the Fermi level is 4.8 states/eV/f.u. The uncorrected formation energy is -0.67 eV/atom.

The structure belongs to space group R-3m (No. 166, hexagonal axes); the cell edges are 3.8927, 3.8927 and 26.5480 Å and the angles 90.00°, 90.00° and 120.00°. The inequivalent atoms are Th at (0.0000, 0.0000, 0.0000), Ti at (0.0000, 0.0000, 0.5000) and Se at (0.0000, 0.0000, 0.4060).

(2)
Here is an optimized crystal structure of Mg2IrW from the Alexandria database. Energies are from PBE.

The calculated formation energy comes out at 0.065 eV per atom. The density of states at the Fermi level is 2.8 states/eV/f.u.

The structure belongs to space group R3m (No. 160, hexagonal axes); the cell edges are 2.9005, 2.9005 and 28.7755 Å and the angles 90.00°, 90.00° and 120.00°. The inequivalent atoms are Mg at (0.0000, 0.0000, 0.0000), Mg at (0.0000, 0.0000, 0.2349), Ir at (0.0000, 0.0000, 0.7449) and W at (0.0000, 0.0000, 0.4837).

(3)
Here is an optimized crystal structure of SrNdAl from the Alexandria database. Energies are from PBE.

The calculated formation energy comes out at -0.105 eV per atom. The density of states at the Fermi level is 1.8 states/eV/f.u.

The structure belongs to space group P-3m1 (No. 164); the cell edges are 5.2602, 5.2602 and 9.1478 Å and the angles 90.00°, 90.00° and 120.00°. The inequivalent atoms are Sr at (0.3333, 0.6667, 0.3418), Nd at (0.3333, 0.6667, 0.9101) and Al at (0.0000, 0.0000, 0.1489).